Compound: In2AgPd
Source: the Alexandria database
Functional: PBE
Structure: relaxed

Lattice parameters (Å, degrees): 4.8357 4.8357 3.2894 90.00 90.00 90.00
Atoms (fractional coordinates):
In (0.0000, 0.5000, 0.0000)
In (0.5000, 0.0000, 0.0000)
Ag (0.0000, 0.0000, 0.5000)
Pd (0.5000, 0.5000, 0.5000)

The calculation puts the total magnetization at 0.0 μB per cell. The calculation puts the energy above the most stable polymorph in this dataset at 18 meV/atom. Its symmetry is P4/mmm. The formation energy comes out at -0.20 eV/atom.